The following is a DFT calculation (meta-GGA SCAN) of a crystal of ScFeN2O relaxed with PBEsol.

Cell lengths 3.9288, 4.0493, 4.0493 Å; angles 90.00, 90.00, 90.00 degrees
With the nearest neighbours (Å) after each atom.
Sites, in units of the cell vectors:
O: 0.5000 0.0000 0.0000  2 Sc 1.96
N: 0.0000 0.0000 0.5000  2 Sc 2.02
N: 0.0000 0.5000 0.0000  2 Sc 2.02
Sc: 0.0000 0.0000 0.0000  2 O 1.96, 4 N 2.02
Fe: 0.5000 0.5000 0.5000  8 N 2.82, 4 O 2.86



The following is a DFT calculation (meta-GGA SCAN) of a crystal of FeSeN2O relaxed with PBEsol.

Cell lengths 3.7305, 3.7354, 3.7354 Å; angles 90.00, 90.00, 90.00 degrees
With the nearest neighbours (Å) after each atom.
Sites, in units of the cell vectors:
O: 0.5000 0.0000 0.0000  2 Se 1.87
Fe: 0.5000 0.5000 0.5000  8 N 2.64, 4 O 2.64
Se: 0.0000 0.0000 0.0000  2 O 1.87, 4 N 1.87
N: 0.0000 0.0000 0.5000  2 Se 1.87
N: 0.0000 0.5000 0.0000  2 Se 1.87



The following is a DFT calculation (meta-GGA SCAN) of a crystal of Fe2SiNO relaxed with PBEsol.

Cell lengths 3.5252, 3.5252, 4.6755 Å; angles 90.00, 90.00, 90.00 degrees
With the nearest neighbours (Å) after each atom.
Sites, in units of the cell vectors:
Fe: 0.0000 0.5000 0.0000  2 O 1.76
Fe: 0.5000 0.0000 0.0000  2 O 1.76
O: 0.0000 0.0000 0.0000  4 Fe 1.76
N: 0.0000 0.0000 0.5000  2 O 2.34, 4 Si 2.49
Si: 0.5000 0.5000 0.5000  4 N 2.49



The following is a DFT calculation (meta-GGA SCAN) of a crystal of TaFeN2O relaxed with PBEsol.

Cell lengths 3.4777, 3.6367, 3.6367 Å; angles 90.00, 90.00, 90.00 degrees
With the nearest neighbours (Å) after each atom.
Sites, in units of the cell vectors:
N: 0.0000 0.0000 0.5000  2 Fe 1.82
N: 0.0000 0.5000 0.0000  2 Fe 1.82
Fe: 0.0000 0.0000 0.0000  2 O 1.74, 4 N 1.82
Ta: 0.5000 0.5000 0.5000  8 N 2.52, 4 O 2.57
O: 0.5000 0.0000 0.0000  2 Fe 1.74



Calculated D(E_F) in order - 2.345, 2.129, 2.571, 2.257 states/eV per cell
Calculated raw formation energy in order - 1.4, 5.8, 3.3, -0.1 eV/f.u.
Calculated magnetic moment in order - 1.401, 0.933, 1.380, 0.238 μB per atom